[1]
24
Lattice="-3.4928 -3.3057 -3.5064 2.2394 -2.5226 -4.9033 4.0166 -10.2580 10.7318" Properties=species:S:1:pos:R:3 comment="PBE-GGA Lu2Sc4Sn3C3, relaxed" rho_g_cm3=6.66 sg=C2/c pbc="T T T"
Sc 1.7069 -6.6508 5.4121
Sn 2.9386 -5.1288 -2.1461
C 0.7232 -3.2088 -5.2717
Sc 1.0564 -9.4355 -3.0900
Lu 0.2714 -3.4512 -2.9206
Sc 0.6643 -1.3899 -0.1892
Sn 0.0386 -4.4944 0.1437
Sc 1.8830 -5.5538 2.5149
Lu 1.4330 -7.3764 -0.3545
C 1.1197 -1.2613 -2.4517
Sc -0.1792 -5.2739 -5.7900
C -1.9765 -2.6196 -3.1380
Sn 2.7247 -11.5919 2.1784
Sn -0.4159 -6.6175 -2.9115
Lu 1.3304 -8.7099 2.6766
C 2.9437 -7.3508 1.5183
Sn 3.1792 -9.4688 5.2336
Sc 2.0990 -14.6964 2.5112
Sn -0.1753 -10.9575 4.4681
Lu 2.4919 -12.6351 5.2427
Sc 2.9425 -10.8124 8.1120
C -0.1804 -8.7355 0.8038
Sc 0.8803 -10.5325 -0.1929
C 0.2619 -6.7818 3.6127


[2]
4
Lattice="2.8351 -0.7922 3.2607 -0.8670 -3.1366 2.9509 2.3493 -3.7118 0.0146" Properties=species:S:1:pos:R:3 comment="PBE-GGA Tc2MoOs, relaxed" rho_g_cm3=13.36 sg=F-43m formation_energy_ev_per_atom=0.3078 pbc="T T T"
Os 3.2381 -5.7305 4.6696
Tc 1.0794 -1.9101 1.5565
Tc 0.0000 0.0000 0.0000
Mo 2.1587 -3.8203 3.1131


[3]
12
Lattice="3.6177 0.0000 0.0000 0.0000 6.3392 0.0000 0.0000 0.0000 13.0652" Properties=species:S:1:pos:R:3 comment="PBE-GGA NiBr2, relaxed" rho_g_cm3=4.84 sg=Cmc2_1 pbc="T T T"
Br 1.8089 4.5723 11.6924
Ni 1.8089 2.8297 6.5827
Br 0.0000 1.7668 5.1599
Br 0.0000 5.6204 1.4698
Br 0.0000 1.4046 11.6930
Br 0.0000 3.8901 8.0015
Ni 1.8089 0.3426 0.0475
Br 1.8089 2.4491 1.4689
Ni 0.0000 3.5094 0.0501
Br 1.8089 4.9346 5.1604
Br 1.8089 0.7187 8.0024
Ni 0.0000 5.9965 6.5801


[4]
9
Lattice="4.9696 0.0000 0.0000 -2.4848 4.3038 0.0000 0.0000 0.0000 9.9196" Properties=species:S:1:pos:R:3 comment="PBE-GGA GdMgZn, relaxed" rho_g_cm3=5.80 sg=P3m1 pbc="T T T"
Gd 2.4848 1.4346 2.2752
Mg 0.0000 2.8692 9.6558
Zn 2.4848 1.4346 5.3506
Gd 2.4848 1.4346 8.3320
Mg 0.0000 0.0000 7.0066
Zn 0.0000 2.8692 2.9017
Zn 0.0000 2.8692 6.5159
Mg 0.0000 0.0000 3.9959
Gd 0.0000 0.0000 0.7003


[5]
6
Lattice="7.2564 0.0000 0.0000 0.0000 6.9025 0.0000 0.0000 0.0000 3.3896" Properties=species:S:1:pos:R:3 comment="PBE-GGA ZnBi2, relaxed" rho_g_cm3=9.46 sg=Pnnm pbc="T T T"
Bi 1.0362 2.2878 0.0000
Zn 0.0000 0.0000 1.6948
Bi 6.2201 4.6148 0.0000
Bi 2.5920 5.7390 1.6948
Zn 3.6282 3.4513 0.0000
Bi 4.6644 1.1635 1.6948


[6]
6
Lattice="-6.5311 2.0199 -5.6663 3.9020 -1.0046 7.9125 1.7974 5.1649 -0.2306" Properties=species:S:1:pos:R:3 comment="PBE-GGA GdTmMg, relaxed" rho_g_cm3=6.79 relative_energy_mev_per_atom=0 sg=Cmcm pbc="T T T"
Gd 3.3338 0.5816 6.5305
Gd -4.1655 5.5985 -4.5149
Mg -0.6212 4.5711 0.0981
Tm 2.8954 3.5516 4.6750
Mg -0.2105 1.6091 1.9175
Tm -3.7271 2.6285 -2.6594


[7]
3
Lattice="3.0997 -1.8452 2.4833 -0.7162 -0.6524 4.2709 -0.5533 -4.0654 1.5316" Properties=species:S:1:pos:R:3 comment="PBE-GGA PuBPb, relaxed" rho_g_cm3=12.92 relative_energy_mev_per_atom=0 sg=F-43m pbc="T T T"
B 0.0000 0.0000 0.0000
Pb 0.4575 -1.6407 2.0714
Pu 1.3726 -4.9222 6.2143


[8]
8
Lattice="2.3932 3.3605 1.8352 -2.6894 0.8122 -3.5349 -5.7864 1.5252 4.7529" Properties=species:S:1:pos:R:3 comment="PBE-GGA MgGaPd2, relaxed" rho_g_cm3=7.55 sg=P6_3/mmc pbc="T T T"
Pd -4.6407 3.9185 4.4312
Mg -1.4466 0.3813 1.1882
Pd -2.6409 3.3914 2.7886
Ga -0.7476 2.8924 1.2334
Pd -3.4417 2.3065 0.2647
Ga -5.3350 2.8055 1.8198
Mg -4.3398 1.1439 3.5647
Pd -1.4419 1.7794 -1.3779


[9]
8
Lattice="3.1837 0.0000 0.0000 0.0000 5.7894 0.0000 0.0000 0.0000 5.9380" Properties=species:S:1:pos:R:3 comment="PBE-GGA DySiNO, relaxed" rho_g_cm3=6.69 relative_energy_mev_per_atom=46 sg=Pmc2_1 pbc="T T T"
N 0.0000 1.9742 4.0407
N 0.0000 4.8689 1.8973
O 1.5919 2.8711 0.1947
Dy 0.0000 2.5538 1.7013
Si 1.5919 2.7554 4.4553
O 1.5919 5.7658 5.7433
Si 1.5919 5.6501 1.4827
Dy 0.0000 5.4485 4.2367


[10]
8
Lattice="3.0476 0.0000 0.0000 -1.5238 2.6393 0.0000 0.0000 0.0000 11.3582" Properties=species:S:1:pos:R:3 comment="PBE-GGA TlCo4C2S, relaxed" rho_g_cm3=9.02 sg=P-6m2 pbc="T T T"
Co 0.0000 1.7596 9.7488
C 1.5238 0.8798 2.6015
Co 0.0000 1.7596 1.6094
C 1.5238 0.8798 8.7567
Tl 0.0000 1.7596 5.6791
Co 0.0000 0.0000 7.9742
S 0.0000 0.0000 0.0000
Co 0.0000 0.0000 3.3839


[11]
3
Lattice="0.0000 3.2220 3.2220 3.2220 0.0000 3.2220 3.2220 3.2220 0.0000" Properties=species:S:1:pos:R:3 comment="PBE-GGA TbNpTc, relaxed" rho_g_cm3=12.26 relative_energy_mev_per_atom=0 sg=F-43m formation_energy_ev_per_atom=1.0384 pbc="T T T"
Tb 1.6110 1.6110 1.6110
Tc 4.8331 4.8331 4.8331
Np 0.0000 0.0000 0.0000


[12]
8
Lattice="-0.8200 4.7829 3.7013 -0.6807 -4.2164 5.2979 2.9757 -3.4182 5.0764" Properties=species:S:1:pos:R:3 comment="PBE-GGA CsNaAu2O4, relaxed" rho_g_cm3=6.81 sg=Amm2 pbc="T T T"
Na 0.0013 1.0231 3.7100
O 1.1831 -3.3947 7.2988
Cs 1.7993 -5.9856 8.1336
Au 1.1691 -3.8890 5.2845
O 0.3073 0.5289 6.9800
O 0.7250 -1.9078 5.0944
O 0.7950 -1.1306 9.0509
Au 0.7399 -1.4339 7.0487


[13]
8
Lattice="3.5378 0.0000 0.0000 0.0000 3.5378 0.0000 0.0000 0.0000 7.5510" Properties=species:S:1:pos:R:3 comment="PBE-GGA Y2Ni2B2CN, relaxed" rho_g_cm3=6.02 sg=P4mm pbc="T T T"
Y 1.7689 1.7689 6.3277
Ni 1.7689 0.0000 3.7535
B 0.0000 0.0000 4.9239
N 1.7689 1.7689 1.1536
Y 0.0000 0.0000 1.2670
B 1.7689 1.7689 2.6038
Ni 0.0000 1.7689 3.7535
C 0.0000 0.0000 6.4210


[14]
6
Lattice="2.1352 1.2327 9.0655 -2.1352 1.2327 9.0655 0.0000 -2.4655 9.0655" Properties=species:S:1:pos:R:3 comment="PBE-GGA YTcW, relaxed" rho_g_cm3=8.60 relative_energy_mev_per_atom=0 sg=R-3m formation_energy_ev_per_atom=0.5446 pbc="T T T"
Tc 0.0000 0.0000 19.2396
Y 0.0000 0.0000 24.0158
W 0.0000 0.0000 16.6555
W 0.0000 0.0000 10.5411
Tc 0.0000 0.0000 7.9569
Y 0.0000 0.0000 3.1808


[15]
7
Lattice="-7.0768 3.6450 3.6450 -3.6450 3.6450 7.0768 -3.6450 7.0768 3.6450" Properties=species:S:1:pos:R:3 comment="PBE-GGA La2Cd2Si3, relaxed" rho_g_cm3=5.76 sg=R3m pbc="T T T"
Cd -7.1866 7.1866 7.1866
La -3.6260 3.6260 3.6260
Si -5.4707 5.4707 5.4707
Cd -14.3640 14.3640 14.3640
Si -12.4332 12.4332 12.4332
La -10.7436 10.7436 10.7436
Si -9.0304 9.0304 9.0304


[16]
4
Lattice="0.0000 3.0701 3.0701 3.0701 0.0000 3.0701 3.0701 3.0701 0.0000" Properties=species:S:1:pos:R:3 comment="PBE-GGA LiNbReAs, relaxed" rho_g_cm3=10.36 relative_energy_mev_per_atom=400 sg=F-43m pbc="T T T"
As 1.5350 1.5350 1.5350
Nb 3.0701 3.0701 3.0701
Li 4.6051 4.6051 4.6051
Re 0.0000 0.0000 0.0000


[17]
8
Lattice="-2.7528 2.8237 -0.2449 1.9397 2.5614 7.7290 4.3382 4.6979 5.4010" Properties=species:S:1:pos:R:3 comment="PBE-GGA Er2CoSi4Ni, relaxed" rho_g_cm3=7.35 sg=Amm2 pbc="T T T"
Co 2.0161 2.3312 4.2165
Si 4.7174 5.4549 9.8664
Er 4.2330 7.8981 11.6094
Si 2.8740 3.3233 6.0109
Si 2.0125 5.3305 6.9654
Si 0.2037 3.2389 3.1823
Ni 2.8723 6.3247 8.7635
Er 0.6769 0.7827 1.4157


[18]
8
Lattice="5.7003 0.0000 0.0000 0.0000 4.0253 0.0000 -0.8623 0.0000 9.6320" Properties=species:S:1:pos:R:3 comment="PBE-GGA USe3, relaxed" rho_g_cm3=7.14 sg=P2_1/m pbc="T T T"
U 0.9881 1.0063 6.2324
Se -0.1620 3.0190 8.0068
Se 0.9928 3.0190 4.1691
Se 5.0000 1.0063 1.6252
U 3.8499 3.0190 3.3995
Se 2.2138 3.0190 7.9199
Se 3.8452 1.0063 5.4628
Se 2.6242 1.0063 1.7121


[19]
4
Lattice="-1.7197 -2.2088 3.9366 -4.5606 0.7607 1.3981 -3.2807 -3.5175 -0.4433" Properties=species:S:1:pos:R:3 comment="PBE-GGA YTlCoAu, relaxed" rho_g_cm3=11.44 relative_energy_mev_per_atom=0 sg=F-43m pbc="T T T"
Y -4.7805 -2.4828 2.4457
Tl 0.0000 0.0000 0.0000
Au -2.3902 -1.2414 1.2229
Co -7.1707 -3.7242 3.6686


[20]
4
Lattice="0.0000 3.1124 3.1124 3.1124 0.0000 3.1124 3.1124 3.1124 0.0000" Properties=species:S:1:pos:R:3 comment="PBE-GGA NbCuTcAs, relaxed" rho_g_cm3=9.07 relative_energy_mev_per_atom=79 sg=F-43m pbc="T T T"
Cu 4.6687 4.6687 4.6687
Nb 3.1124 3.1124 3.1124
As 0.0000 0.0000 0.0000
Tc 1.5562 1.5562 1.5562


Sequential total energy output: -0.502 -0.764 -0.244 -0.183 -0.221 -0.266 -0.571 -0.305 -0.548 -0.471 -0.604 -0.311 -0.564 -0.690 -0.309 -0.515 -0.459 -0.467 -0.362 -0.524 Ry/atom